1.
Entry from Alexandria via LeMat-Bulk: an optimized crystal structure of AlAsW2 (PBE).

Results
ρ = 12.3 g cm⁻³
energy above the most stable polymorph in this dataset = 0.548 eV/atom
space group = I4/mmm (139)

a b c (Å): 5.0297 5.0297 5.0297
angles (deg): 134.59 134.59 66.17
Last column: nearest neighbours and their distance in Å.
Atoms (fractional coordinates):
1 As 0.7500 0.2500 0.5000  4 Al 2.75, 8 W 2.87
2 Al 0.2500 0.7500 0.5000  4 As 2.75, 8 W 2.87
3 W 0.0000 0.0000 0.0000  4 W 2.75, 4 As 2.87, 4 Al 2.87
4 W 0.5000 0.5000 0.0000  4 W 2.75, 4 As 2.87, 4 Al 2.87

---

2.
Entry from Alexandria via LeMat-Bulk: an optimized crystal structure of AlAsW (PBE).

Results
ρ = 10.4 g cm⁻³
energy above the most stable polymorph in this dataset = 0.000 eV/atom
space group = I4mm (107)

a b c (Å): 4.7876 4.7876 4.7876
angles (deg): 139.51 139.51 58.59
Last column: nearest neighbours and their distance in Å.
Atoms (fractional coordinates):
1 As 0.3254 0.3254 0.0000  5 W 2.66-2.91, 5 Al 2.71-2.76
2 Al 0.0008 0.0008 0.0000  5 As 2.71-2.76, 5 W 2.73-2.75
3 W 0.6739 0.6739 0.0000  5 As 2.66-2.91, 5 Al 2.73-2.75

---

3.
Entry from Alexandria via LeMat-Bulk: an optimized crystal structure of AlAsW2 (PBE).

Results
ρ = 11.8 g cm⁻³
energy above the most stable polymorph in this dataset = 0.275 eV/atom
space group = Cmm2 (35)

a b c (Å): 2.8070 2.8070 8.8840
angles (deg): 90.00 90.00 109.30
Last column: nearest neighbours and their distance in Å.
Atoms (fractional coordinates):
1 As 0.5000 0.5000 0.7611  2 W 2.70, 4 As 2.81, 2 Al 2.93
2 Al 0.0000 0.0000 0.4865  2 W 2.67, 4 Al 2.81, 2 As 2.93
3 W 0.0000 0.0000 0.0037  2 As 2.70, 6 W 2.71-2.81
4 W 0.5000 0.5000 0.2486  2 Al 2.67, 6 W 2.71-2.81

---

4.
Entry from Alexandria via LeMat-Bulk: an optimized crystal structure of Al2AsW (PBE).

Results
ρ = 8.1 g cm⁻³
electronic total energy = -6.014 eV per atom
space group = I-4m2 (119)

a b c (Å): 5.0021 5.0021 5.0021
angles (deg): 133.99 133.99 67.10
Last column: nearest neighbours and their distance in Å.
Atoms (fractional coordinates):
1 As 0.5000 0.5000 0.0000  8 Al 2.76-2.86, 4 W 2.86
2 Al 0.0000 0.0000 0.0000  4 As 2.76, 4 W 2.86, 4 Al 2.86
3 Al 0.2500 0.7500 0.5000  4 W 2.76, 4 As 2.86, 4 Al 2.86
4 W 0.7500 0.2500 0.5000  8 Al 2.76-2.86, 4 As 2.86

---

5.
Entry from Alexandria via LeMat-Bulk: an optimized crystal structure of AlAsW (PBE).

Results
ρ = 7.9 g cm⁻³
energy above the most stable polymorph in this dataset = 0.324 eV/atom
space group = C2/m (12)

a b c (Å): 3.3352 4.6201 8.3155
angles (deg): 91.42 90.00 111.16
Last column: nearest neighbours and their distance in Å.
Atoms (fractional coordinates):
1 As 0.1433 0.2866 0.1819  4 W 2.51-2.55
2 As 0.8567 0.7134 0.8181  4 W 2.51-2.55
3 Al 0.4377 0.8754 0.3572  1 Al 2.58, 2 W 2.67, 2 As 2.86
4 Al 0.5623 0.1246 0.6428  1 Al 2.58, 2 W 2.67, 2 As 2.86
5 W 0.1489 0.2977 0.8792  4 As 2.51-2.55, 2 Al 2.67
6 W 0.8511 0.7023 0.1208  4 As 2.51-2.55, 2 Al 2.67

---

6.
Entry from Alexandria via LeMat-Bulk: an optimized crystal structure of YAlAs2 (PBE).

Results
ρ = 5.1 g cm⁻³
electronic total energy = -5.610 eV per atom
space group = R3m (160)

a b c (Å): 6.9761 6.9761 6.9761
angles (deg): 32.45 32.45 32.45
Last column: nearest neighbours and their distance in Å.
Atoms (fractional coordinates):
1 Y 0.5003 0.5003 0.5003  6 As 2.91-2.95
2 As 0.0705 0.0705 0.0705  3 Al 2.62
3 As 0.2602 0.2602 0.2602  3 Al 2.70, 3 Y 2.91
4 Al 0.6691 0.6691 0.6691  6 As 2.62-2.70

---

7.
Entry from Alexandria via LeMat-Bulk: an optimized crystal structure of Y3AlAs (PBE).

Results
ρ = 4.0 g cm⁻³
energy above the most stable polymorph in this dataset = 0.000 eV/atom
space group = Pm-3m (221)

a b c (Å): 5.3377 5.3377 5.3377
angles (deg): 90.00 90.00 90.00
Last column: nearest neighbours and their distance in Å.
Atoms (fractional coordinates):
1 Y 0.0000 0.5000 0.0000  2 As 2.67
2 Y 0.0000 0.0000 0.5000  2 As 2.67
3 Y 0.5000 0.0000 0.0000  2 As 2.67
4 As 0.0000 0.0000 0.0000  6 Y 2.67
5 Al 0.5000 0.5000 0.5000  12 Y 3.77

---

8.
Entry from Alexandria via LeMat-Bulk: an optimized crystal structure of YAlAs3 (PBE).

Results
ρ = 3.6 g cm⁻³
energy above the most stable polymorph in this dataset = 0.583 eV/atom
space group = Pm-3m (221)

a b c (Å): 5.4150 5.4150 5.4150
angles (deg): 90.00 90.00 90.00
Last column: nearest neighbours and their distance in Å.
Atoms (fractional coordinates):
1 Y 0.0000 0.0000 0.0000  6 As 2.71
2 As 0.0000 0.5000 0.0000  2 Y 2.71
3 As 0.0000 0.0000 0.5000  2 Y 2.71
4 As 0.5000 0.0000 0.0000  2 Y 2.71
5 Al 0.5000 0.5000 0.5000  12 As 3.83

---

| no. | V (Å³/atom) |
| --- | --- |
| 1 | 15.88 |
| 2 | 15.28 |
| 3 | 16.52 |
| 4 | 15.93 |
| 5 | 19.91 |
| 6 | 21.72 |
| 7 | 30.42 |
| 8 | 31.76 |